No. 1
{"formula": "P3C4", "functional": "PBE", "state": "relaxed", "cell": [[4.156, 0.000, 0.000], [0.000, 4.156, 0.000], [0.000, 0.000, 4.156]], "species": ["P", "P", "P", "C", "C", "C", "C"], "frac_coords": [[0.000, 0.000, 0.500], [0.000, 0.500, 0.000], [0.500, 0.000, 0.000], [0.245, 0.245, 0.245], [0.245, 0.755, 0.755], [0.755, 0.245, 0.755], [0.755, 0.755, 0.245]], "de_polymorph_mev_per_atom": 0, "crystal_system": "cubic", "dft_energy_ev_per_atom": -6.77}

---

No. 2
{"formula": "P5C4", "functional": "PBE", "state": "relaxed", "cell": [[5.807, 0.000, 0.000], [-2.903, 5.029, 0.000], [0.000, 0.000, 6.355]], "species": ["P", "P", "P", "P", "P", "P", "P", "P", "P", "P", "C", "C", "C", "C", "C", "C", "C", "C"], "frac_coords": [[0.000, 0.261, 0.250], [0.000, 0.739, 0.750], [0.261, 0.000, 0.250], [0.261, 0.261, 0.750], [0.333, 0.667, 0.000], [0.333, 0.667, 0.500], [0.667, 0.333, 0.000], [0.667, 0.333, 0.500], [0.739, 0.000, 0.750], [0.739, 0.739, 0.250], [0.000, 0.000, 0.000], [0.000, 0.000, 0.500], [0.000, 0.419, 0.750], [0.000, 0.581, 0.250], [0.419, 0.000, 0.750], [0.419, 0.419, 0.250], [0.581, 0.000, 0.250], [0.581, 0.581, 0.750]], "de_polymorph_mev_per_atom": 0, "crystal_system": "hexagonal", "dft_energy_ev_per_atom": -5.38}

---

No. 3
{"formula": "PC3", "functional": "PBE", "state": "relaxed", "cell": [[2.511, -8.759, 0.000], [2.511, 8.759, 0.000], [0.000, 0.000, 2.480]], "species": ["P", "P", "C", "C", "C", "C", "C", "C"], "frac_coords": [[0.125, 0.875, 0.750], [0.875, 0.125, 0.250], [0.160, 0.410, 0.750], [0.375, 0.625, 0.250], [0.410, 0.160, 0.250], [0.590, 0.840, 0.750], [0.625, 0.375, 0.750], [0.840, 0.590, 0.250]], "de_polymorph_mev_per_atom": 1447, "crystal_system": "orthorhombic", "dft_energy_ev_per_atom": -6.18}

---

No. 4
{"formula": "PC2", "functional": "PBE", "state": "relaxed", "cell": [[2.770, 0.000, 0.000], [0.000, 3.217, 0.000], [0.000, 0.000, 3.777]], "species": ["P", "C", "C"], "frac_coords": [[0.000, 0.000, 0.000], [0.500, 0.000, 0.322], [0.500, 0.000, 0.678]], "de_polymorph_mev_per_atom": 617, "crystal_system": "orthorhombic", "dft_energy_ev_per_atom": -7.11}

---

No. 5
{"formula": "PC4", "functional": "PBE", "state": "relaxed", "cell": [[2.707, 0.000, 0.000], [-1.354, 2.344, 0.000], [0.000, 0.000, 5.607]], "species": ["P", "C", "C", "C", "C"], "frac_coords": [[0.000, 0.000, 0.000], [0.333, 0.667, 0.187], [0.333, 0.667, 0.450], [0.667, 0.333, 0.550], [0.667, 0.333, 0.813]], "de_polymorph_mev_per_atom": 0, "crystal_system": "trigonal", "dft_energy_ev_per_atom": -7.73}

---

No. 6
{"formula": "PC2", "functional": "PBE", "state": "relaxed", "cell": [[2.878, 0.000, 0.000], [-1.439, 2.492, 0.000], [0.000, 0.000, 3.481]], "species": ["P", "C", "C"], "frac_coords": [[0.000, 0.000, 0.000], [0.333, 0.667, 0.288], [0.667, 0.333, 0.712]], "de_polymorph_mev_per_atom": 1652, "crystal_system": "trigonal", "dft_energy_ev_per_atom": -6.07}

---

No. 7
{"formula": "PC3", "functional": "PBE", "state": "relaxed", "cell": [[3.393, 0.000, 0.000], [0.000, 2.731, 0.000], [-0.932, 0.000, 3.322]], "species": ["P", "C", "C", "C"], "frac_coords": [[0.000, 0.000, 0.000], [0.321, 0.500, 0.825], [0.500, 0.000, 0.500], [0.679, 0.500, 0.175]], "de_polymorph_mev_per_atom": 1206, "crystal_system": "monoclinic", "dft_energy_ev_per_atom": -6.42}

---

No. 8
{"formula": "P2C3", "functional": "PBE", "state": "relaxed", "cell": [[0.000, 5.278, 2.426], [4.513, 0.000, 2.426], [4.513, 5.278, 0.000]], "species": ["P", "P", "P", "P", "C", "C", "C", "C", "C", "C"], "frac_coords": [[0.112, 0.888, 0.303], [0.553, 0.947, 0.362], [0.888, 0.112, 0.697], [0.947, 0.553, 0.138], [0.033, 0.529, 0.348], [0.160, 0.902, 0.721], [0.529, 0.033, 0.090], [0.564, 0.564, 0.436], [0.814, 0.814, 0.686], [0.902, 0.160, 0.217]], "de_polymorph_mev_per_atom": 553, "crystal_system": "orthorhombic", "dft_energy_ev_per_atom": -6.69}

---

No. 9
{"formula": "PC2", "functional": "PBE", "state": "relaxed", "cell": [[2.476, -1.435, 0.000], [2.476, 1.435, 0.000], [-1.650, 0.000, 3.500]], "species": ["P", "C", "C"], "frac_coords": [[0.000, 0.000, 0.000], [0.433, 0.433, 0.300], [0.567, 0.567, 0.700]], "de_polymorph_mev_per_atom": 474, "crystal_system": "monoclinic", "dft_energy_ev_per_atom": -7.25}

---

No. 10
{"formula": "PC2", "functional": "PBE", "state": "relaxed", "cell": [[4.595, 0.000, 0.000], [0.000, 4.595, 0.000], [0.000, 0.000, 4.595]], "species": ["P", "P", "P", "P", "C", "C", "C", "C", "C", "C", "C", "C"], "frac_coords": [[0.000, 0.000, 0.000], [0.000, 0.500, 0.500], [0.500, 0.000, 0.500], [0.500, 0.500, 0.000], [0.089, 0.589, 0.911], [0.089, 0.911, 0.411], [0.411, 0.089, 0.911], [0.411, 0.411, 0.411], [0.589, 0.589, 0.589], [0.589, 0.911, 0.089], [0.911, 0.089, 0.589], [0.911, 0.411, 0.089]], "de_polymorph_mev_per_atom": 568, "crystal_system": "cubic", "dft_energy_ev_per_atom": -7.16}

---

No. 11
{"formula": "PC3", "functional": "PBE", "state": "relaxed", "cell": [[3.698, -1.341, 0.000], [3.698, 1.341, 0.000], [-1.111, 0.000, 4.585]], "species": ["P", "C", "C", "C"], "frac_coords": [[0.000, 0.000, 0.000], [0.425, 0.425, 0.472], [0.432, 0.432, 0.774], [0.922, 0.922, 0.327]], "de_polymorph_mev_per_atom": 5, "crystal_system": "monoclinic", "dft_energy_ev_per_atom": -7.62}

---

No. 12
{"formula": "PC3", "functional": "PBE", "state": "relaxed", "cell": [[3.034, -3.923, 0.000], [3.034, 3.923, 0.000], [0.000, 0.000, 2.690]], "species": ["P", "P", "C", "C", "C", "C", "C", "C"], "frac_coords": [[0.096, 0.904, 0.750], [0.904, 0.096, 0.250], [0.075, 0.461, 0.250], [0.438, 0.562, 0.250], [0.461, 0.075, 0.750], [0.539, 0.925, 0.250], [0.562, 0.438, 0.750], [0.925, 0.539, 0.750]], "de_polymorph_mev_per_atom": 645, "crystal_system": "orthorhombic", "dft_energy_ev_per_atom": -6.98}

---

| no. | energy relative to the elements (eV/atom) |
| --- | --- |
| 1 | 0.819 |
| 2 | 1.725 |
| 3 | 2.090 |
| 4 | 0.847 |
| 5 | 0.728 |
| 6 | 1.881 |
| 7 | 1.849 |
| 8 | 1.006 |
| 9 | 0.704 |
| 10 | 0.797 |
| 11 | 0.648 |
| 12 | 1.288 |